## TaNbPS2 (GGA-PBE)

Data for crystalline TaNbPS2 at its relaxed geometry.

Geometry as POSCAR:
```
TaNbPS2
1.0
-2.774 -0.175 3.780
2.941 -3.049 2.018
2.475 3.703 1.988
P Nb S Ta
1 1 2 1
direct
0.000 0.000 0.500 P
0.500 0.500 0.500 Nb
0.500 0.000 0.000 S
0.000 0.500 0.000 S
0.000 0.000 0.000 Ta
```

Values from the calculation:
For the density of states at the Fermi level, the calculation gives 4.43 states/eV/f.u. As for the crystal system: tetragonal. The calculation puts the total energy at -6.78 eV per atom. As for the space-group type: P4/mmm (123).

---

## TaNbP2S (GGA-PBE)

Data for crystalline TaNbP2S at its relaxed geometry.

Geometry as POSCAR:
```
TaNbP2S
1.0
-0.705 -1.264 -4.571
1.388 -4.473 1.024
-4.423 -1.144 0.998
P Nb S Ta
2 1 1 1
direct
0.000 0.500 0.000 P
0.500 0.000 0.000 P
0.500 0.500 0.500 Nb
0.000 0.000 0.500 S
0.000 0.000 0.000 Ta
```

Values from the calculation:
For the density of states at the Fermi level, the calculation gives 2.84 states/eV/f.u. As for the crystal system: tetragonal. The calculation puts the total energy at -6.86 eV per atom. As for the space-group type: P4/mmm (123).

---

## TaNbP2S (GGA-PBE)

Data for crystalline TaNbP2S at its relaxed geometry.

Geometry as POSCAR:
```
TaNbP2S
1.0
-3.997 -1.658 -2.037
0.059 -3.765 2.949
-2.551 2.369 3.076
Ta S P Nb
1 1 2 1
direct
0.500 0.500 0.500 Ta
0.000 0.000 0.500 S
0.000 0.500 0.000 P
0.500 0.000 0.000 P
0.000 0.000 0.000 Nb
```

Values from the calculation:
For the density of states at the Fermi level, the calculation gives 3.76 states/eV/f.u. As for the crystal system: tetragonal. The calculation puts the total energy at -6.58 eV per atom. As for the space-group type: P4/mmm (123).

---

## NbTcPS2 (GGA-PBE)

Data for crystalline NbTcPS2 at its relaxed geometry.

Geometry as POSCAR:
```
NbTcPS2
1.0
-1.025 4.399 -0.519
-2.326 -0.988 -3.779
-3.801 -0.591 2.494
Nb S Tc P
1 2 1 1
direct
0.500 0.500 0.500 Nb
0.500 0.000 0.000 S
0.000 0.500 0.000 S
0.000 0.000 0.000 Tc
0.000 0.000 0.500 P
```

Values from the calculation:
For the density of states at the Fermi level, the calculation gives 8.42 states/eV/f.u. As for the crystal system: tetragonal. The calculation puts the total energy at -6.12 eV per atom. As for the space-group type: P4/mmm (123).